GGA+U ZrTaVO6, relaxed; electronic total energy = -9.19 eV/atom; SG = P4_2nm, No. 102; V = 12.14 A^3/atom
1.0
4.8085 0.0000 0.0000
0.0000 4.8085 0.0000
0.0000 0.0000 9.4490
Zr Ta V O
2 2 2 12
direct
0.5000 0.5000 0.1699
0.0000 0.0000 0.6699
0.5000 0.5000 0.8332
0.0000 0.0000 0.3332
0.5000 0.5000 0.4999
0.0000 0.0000 0.9999
0.1972 0.8028 0.4910
0.8028 0.1972 0.4910
0.3028 0.3028 0.9910
0.6972 0.6972 0.9910
0.1897 0.8103 0.1709
0.8103 0.1897 0.1709
0.3103 0.3103 0.6709
0.6897 0.6897 0.6709
0.7957 0.2043 0.8366
0.2043 0.7957 0.8366
0.7043 0.7043 0.3366
0.2957 0.2957 0.3366